Entry 1:
Entry from Alexandria via LeMat-Bulk: a geometry-optimized Y2CdAuS structure (GGA-PBE).

Lattice parameters (Å, degrees): 5.152 4.874 5.152 90.00 90.00 90.00
Atoms (fractional coordinates):
Y 0.000 0.000 0.500
Y 0.500 0.000 0.000
Cd 0.000 0.500 0.000
Au 0.500 0.500 0.500
S 0.000 0.000 0.000

Values from the calculation:
The calculation puts the calculated volume at 129 Å³ per cell. Its formation energy without anion corrections is -0.5016 eV/atom.


Entry 2:
Entry from Alexandria via LeMat-Bulk: a geometry-optimized Y2Tl3PbSe6 structure (GGA-PBE).

Lattice parameters (Å, degrees): 4.221 9.009 9.990 106.36 102.20 90.00
Atoms (fractional coordinates):
Y 0.169 0.335 0.338
Y 0.831 0.665 0.662
Se 0.664 0.115 0.329
Se 0.676 0.559 0.351
Se 0.324 0.441 0.649
Se 0.014 0.252 0.028
Se 0.336 0.885 0.671
Se 0.986 0.748 0.972
Tl 0.166 0.834 0.331
Tl 0.500 0.500 0.000
Tl 0.834 0.166 0.669
Pb 0.500 0.000 0.000

Values from the calculation:
The calculation puts the calculated volume at 356 Å³ per cell. Its formation energy without anion corrections is -1.0516 eV/atom.


Density / g/cm³: 6.66, 6.87